# 1
This record from Alexandria describes an optimized crystal structure of SbRuPb. The functional is GGA-PBE.

Cell lengths 3.2422, 3.2422, 6.9982 Å; angles 103.32, 103.32, 89.80 degrees
Fractional coordinates of all 3 atoms:
1 Sb 0.0000 0.0000 0.0000
2 Ru 0.6108 0.6108 0.2235
3 Pb 0.2593 0.2593 0.5252

Final energy in eV per atom: -5.63
E_form (uncorrected) in eV per atom: 0.07
Density in g/cm³: 10.3
E above lowest polymorph in meV per atom: 51

***

# 2
This record from Alexandria describes an optimized crystal structure of MgSc5Co4. The functional is GGA-PBE.

Cell lengths 3.1439, 3.1439, 17.1112 Å; angles 90.00, 90.00, 90.00 degrees
Fractional coordinates of all 10 atoms:
1 Mg 0.0000 0.0000 0.0000
2 Sc 0.5000 0.5000 0.1387
3 Sc 0.5000 0.5000 0.3189
4 Sc 0.5000 0.5000 0.5000
5 Sc 0.5000 0.5000 0.6811
6 Sc 0.5000 0.5000 0.8613
7 Co 0.0000 0.0000 0.2239
8 Co 0.0000 0.0000 0.4090
9 Co 0.0000 0.0000 0.5910
10 Co 0.0000 0.0000 0.7761

Final energy in eV per atom: -6.48
Density in g/cm³: 4.8
Energy relative to the elements in kJ/mol of formula units: -300

***

# 3
This record from Alexandria describes an optimized crystal structure of Nd4Pb2C. The functional is GGA-PBE.

Cell lengths 9.0845, 9.0845, 9.0845 Å; angles 147.83, 147.83, 46.14 degrees
Fractional coordinates of all 7 atoms:
1 Nd 0.0000 0.5000 0.5000
2 Nd 0.1604 0.1604 0.0000
3 Nd 0.5000 0.0000 0.5000
4 Nd 0.8396 0.8396 0.0000
5 Pb 0.3595 0.3595 0.0000
6 Pb 0.6405 0.6405 0.0000
7 C 0.0000 0.0000 0.0000

Final energy in eV per atom: -5.54
Density in g/cm³: 7.9
E above lowest polymorph in meV per atom: 0
Energy relative to the elements in kJ/mol of formula units: -294

***

# 4
This record from Alexandria describes an optimized crystal structure of Ce8Ir3Br4Cl. The functional is GGA-PBE.

Cell lengths 8.8739, 8.8739, 8.8739 Å; angles 55.13, 55.13, 55.13 degrees
Fractional coordinates of all 16 atoms:
1 Ce 0.2303 0.7399 0.7399
2 Ce 0.2318 0.2318 0.2318
3 Ce 0.2601 0.2601 0.7697
4 Ce 0.2601 0.7697 0.2601
5 Ce 0.7399 0.2303 0.7399
6 Ce 0.7399 0.7399 0.2303
7 Ce 0.7682 0.7682 0.7682
8 Ce 0.7697 0.2601 0.2601
9 Ir 0.0000 0.0000 0.5000
10 Ir 0.0000 0.5000 0.0000
11 Ir 0.5000 0.0000 0.0000
12 Br 0.0000 0.0000 0.0000
13 Br 0.0000 0.5000 0.5000
14 Br 0.5000 0.0000 0.5000
15 Br 0.5000 0.5000 0.0000
16 Cl 0.5000 0.5000 0.5000

Final energy in eV per atom: -6.25
E_form (uncorrected) in eV per atom: -1.09
Density in g/cm³: 7.8

***

# 5
This record from Alexandria describes an optimized crystal structure of Ba3Li7Zn2. The functional is GGA-PBE.

Cell lengths 10.5762, 10.5762, 10.5762 Å; angles 34.81, 34.81, 34.81 degrees
Fractional coordinates of all 12 atoms:
1 Ba 0.0000 0.0000 0.0000
2 Ba 0.1439 0.1439 0.1439
3 Ba 0.8561 0.8561 0.8561
4 Li 0.0776 0.5702 0.5702
5 Li 0.4298 0.4298 0.9224
6 Li 0.4298 0.9224 0.4298
7 Li 0.5000 0.5000 0.5000
8 Li 0.5702 0.0776 0.5702
9 Li 0.5702 0.5702 0.0776
10 Li 0.9224 0.4298 0.4298
11 Zn 0.3320 0.3320 0.3320
12 Zn 0.6680 0.6680 0.6680

Final energy in eV per atom: -1.83
Density in g/cm³: 2.9
Energy relative to the elements in kJ/mol of formula units: -29

***

# 6
This record from Alexandria describes an optimized crystal structure of Sr2LiIr. The functional is GGA-PBE.

Cell lengths 6.9251, 6.9251, 6.9251 Å; angles 103.76, 103.76, 121.62 degrees
Fractional coordinates of all 8 atoms:
1 Sr 0.0734 0.6250 0.9484
2 Sr 0.3750 0.3234 0.4484
3 Sr 0.6766 0.1250 0.0516
4 Sr 0.8750 0.9266 0.5516
5 Li 0.2500 0.7500 0.5000
6 Li 0.5000 0.5000 0.0000
7 Ir 0.0000 0.0000 0.0000
8 Ir 0.7500 0.2500 0.5000

Final energy in eV per atom: -3.30
Density in g/cm³: 5.0
Energy relative to the elements in kJ/mol of formula units: 90

***

# 7
This record from Alexandria describes an optimized crystal structure of RbAlSn. The functional is GGA-PBE.

Cell lengths 5.9711, 8.0684, 4.6989 Å; angles 90.00, 90.00, 90.00 degrees
Fractional coordinates of all 6 atoms:
1 Rb 0.0000 0.2493 0.0000
2 Rb 0.0000 0.7507 0.5000
3 Al 0.5000 0.0654 0.5008
4 Al 0.5000 0.9346 0.0008
5 Sn 0.5000 0.3989 0.4997
6 Sn 0.5000 0.6011 0.9997

Final energy in eV per atom: -2.94
Density in g/cm³: 3.4
Energy relative to the elements in kJ/mol of formula units: -11

***

# 8
This record from Alexandria describes an optimized crystal structure of Sr2HgW. The functional is GGA-PBE.

Cell lengths 4.6881, 6.3237, 6.3237 Å; angles 43.99, 90.00, 90.00 degrees
Fractional coordinates of all 4 atoms:
1 Sr 0.0000 0.0000 0.0000
2 Sr 0.5000 0.2922 0.2922
3 Hg 0.5000 0.5844 0.5844
4 W 0.0000 0.7010 0.7010

Final energy in eV per atom: -3.47
Density in g/cm³: 7.1
Energy relative to the elements in kJ/mol of formula units: 263

***

# 9
This record from Alexandria describes an optimized crystal structure of Sc5In4Ag. The functional is GGA-PBE.

Cell lengths 3.3582, 3.3582, 19.6086 Å; angles 90.00, 90.00, 90.00 degrees
Fractional coordinates of all 10 atoms:
1 Sc 0.0000 0.0000 0.0000
2 Sc 0.0000 0.0000 0.2063
3 Sc 0.0000 0.0000 0.4109
4 Sc 0.0000 0.0000 0.5891
5 Sc 0.0000 0.0000 0.7937
6 In 0.5000 0.5000 0.1035
7 In 0.5000 0.5000 0.3099
8 In 0.5000 0.5000 0.6901
9 In 0.5000 0.5000 0.8965
10 Ag 0.5000 0.5000 0.5000

Final energy in eV per atom: -4.95
Density in g/cm³: 5.9
Energy relative to the elements in kJ/mol of formula units: -391

***

# 10
This record from Alexandria describes an optimized crystal structure of AcLaAsI. The functional is GGA-PBE.

Cell lengths 8.6039, 8.6039, 8.6039 Å; angles 29.55, 29.55, 29.55 degrees
Fractional coordinates of all 4 atoms:
1 Ac 0.0000 0.0000 0.0000
2 La 0.1976 0.1976 0.1976
3 As 0.5937 0.5937 0.5937
4 I 0.7693 0.7693 0.7693

Final energy in eV per atom: -5.15
E_form (uncorrected) in eV per atom: -1.34
Density in g/cm³: 6.9

***

# 11
This record from Alexandria describes an optimized crystal structure of Cs3MgSb2Te6. The functional is GGA-PBE.

Cell lengths 7.7685, 7.7685, 9.3481 Å; angles 97.96, 97.96, 119.99 degrees
Fractional coordinates of all 12 atoms:
1 Cs 0.0000 0.0000 0.0000
2 Cs 0.3302 0.6698 0.0000
3 Cs 0.6698 0.3302 0.0000
4 Mg 0.5000 0.5000 0.5000
5 Sb 0.1663 0.8337 0.5000
6 Sb 0.8337 0.1663 0.5000
7 Te 0.1129 0.4390 0.3167
8 Te 0.2351 0.2351 0.6843
9 Te 0.4390 0.1129 0.3167
10 Te 0.5610 0.8871 0.6833
11 Te 0.7649 0.7649 0.3157
12 Te 0.8871 0.5610 0.6833

Final energy in eV per atom: -3.20
E_form (uncorrected) in eV per atom: -0.59
Density in g/cm³: 5.1

***

# 12
This record from Alexandria describes an optimized crystal structure of KBPt3. The functional is GGA-PBE.

Cell lengths 2.8865, 8.4554, 8.4554 Å; angles 38.76, 90.00, 90.00 degrees
Fractional coordinates of all 5 atoms:
1 K 0.0000 0.0000 0.0000
2 B 0.5000 0.6854 0.6854
3 Pt 0.0000 0.4186 0.9513
4 Pt 0.0000 0.9513 0.4186
5 Pt 0.5000 0.8160 0.8160

Final energy in eV per atom: -5.02
Density in g/cm³: 8.2
Energy relative to the elements in kJ/mol of formula units: 75

***

- What is the density in the ninth record?
  5.9 g/cm³

***

- Which value of final energy does entry 8 give?
  -3.47 eV per atom